Compound: HgTe2W
Source: the Alexandria database
Functional: PBE
Structure: relaxed

Unit cell a=12.6267 b=12.6267 c=12.6267 alpha=14.13 beta=14.13 gamma=14.13
Positions (direct):
Hg: 0.0000 0.0000 0.0000
Te: 0.4270 0.4270 0.4270
Te: 0.5730 0.5730 0.5730
W: 0.5000 0.5000 0.5000

Summary:
spin magnetization = 0.7 μB/f.u.

Compound: HgTe3W
Source: the Alexandria database
Functional: PBE
Structure: relaxed

Unit cell a=5.5085 b=5.5085 c=5.5085 alpha=90.00 beta=90.00 gamma=90.00
Positions (direct):
Hg: 0.0000 0.0000 0.0000
Te: 0.0000 0.0000 0.5000
Te: 0.0000 0.5000 0.0000
Te: 0.5000 0.0000 0.0000
W: 0.5000 0.5000 0.5000

Summary:
spin magnetization = 3.1 μB/f.u.
excess energy over the best structure of this formula in the dataset = 1211 meV per atom

Compound: HgTe2W
Source: the Alexandria database
Functional: PBE
Structure: relaxed

Unit cell a=3.2975 b=3.2968 c=9.9109 alpha=90.00 beta=90.20 gamma=90.00
Positions (direct):
Hg: 0.0000 0.0000 0.0000
Te: 0.4983 0.5000 0.3306
Te: 0.5017 0.5000 0.6694
W: 0.0000 0.0000 0.5000

Summary:
spin magnetization = 0.0 μB/f.u.

Compound: HgTe2W
Source: the Alexandria database
Functional: PBE
Structure: relaxed

Unit cell a=5.1539 b=5.1539 c=3.5663 alpha=90.00 beta=90.00 gamma=105.52
Positions (direct):
Hg: 0.0000 0.0000 0.0000
Te: 0.0000 0.5000 0.5000
Te: 0.5000 0.0000 0.5000
W: 0.5000 0.5000 0.0000

Summary:
spin magnetization = 1.3 μB/f.u.

Compound: HgTe2W
Source: the Alexandria database
Functional: PBE
Structure: relaxed

Unit cell a=5.1391 b=5.1391 c=3.4797 alpha=90.00 beta=90.00 gamma=90.00
Positions (direct):
Hg: 0.0000 0.0000 0.0000
Te: 0.0000 0.5000 0.5000
Te: 0.5000 0.0000 0.5000
W: 0.5000 0.5000 0.0000

Summary:
spin magnetization = 1.5 μB/f.u.

Compound: HgTeW
Source: the Alexandria database
Functional: PBE
Structure: relaxed

Unit cell a=7.0987 b=7.0987 c=7.0987 alpha=153.67 beta=153.67 gamma=37.58
Positions (direct):
Hg: 0.0000 0.0000 0.0000
Te: 0.2586 0.2586 0.0000
W: 0.6397 0.6397 0.0000

Summary:
spin magnetization = 0.0 μB/f.u.
excess energy over the best structure of this formula in the dataset = 76 meV per atom

Number 1: mass density 10.2 g/cm³, formation energy (no corrections) 0.688 eV per atom. Number 2: mass density 7.6 g/cm³, formation energy (no corrections) 1.673 eV per atom. Number 3: mass density 9.9 g/cm³, formation energy (no corrections) 0.149 eV per atom. Number 4: mass density 11.6 g/cm³, formation energy (no corrections) 0.905 eV per atom. Number 5: mass density 11.6 g/cm³, formation energy (no corrections) 0.959 eV per atom. Number 6: mass density 12.1 g/cm³, formation energy (no corrections) 0.564 eV per atom.